Record 1
This record from Alexandria describes a relaxed structure of Pa2Sn3Se8. The functional is PBE-GGA.

space-group type: No. 12

Lattice parameters (Å, degrees): 7.0814 7.6981 8.7080 116.23 108.05 90.00
Closest atoms and distances in Å follow each position.
Fractional coordinates of all 13 atoms:
Se 0.8868 0.6414 0.2828  1 Pa 2.62
Se 0.5845 0.1127 0.7374  2 Pa 2.87-2.88, 2 Sn 2.96-2.99
Se 0.4155 0.3753 0.2626  2 Pa 2.87-2.88, 2 Sn 2.96-2.99
Se 0.9393 0.1126 0.2253  1 Pa 2.84, 3 Sn 2.85-3.00
Se 0.4155 0.8873 0.2626  2 Pa 2.87-2.88, 2 Sn 2.96-2.99
Se 0.5845 0.6247 0.7374  2 Pa 2.87-2.88, 2 Sn 2.96-2.99
Se 0.0607 0.8874 0.7747  1 Pa 2.84, 3 Sn 2.85-3.00
Se 0.1132 0.3586 0.7172  1 Pa 2.62
Sn 0.0000 0.2707 0.0000  6 Se 2.85-3.14
Sn 0.5000 0.0000 0.0000  6 Se 2.99-3.00
Sn 0.0000 0.7293 0.0000  6 Se 2.85-3.14
Pa 0.3258 0.2510 0.5019  6 Se 2.62-2.88
Pa 0.6742 0.7490 0.4981  6 Se 2.62-2.88

Record 2
This record from Alexandria describes a relaxed structure of Pa2SnSe4. The functional is PBE-GGA.

space-group type: No. 156
DOS at the Fermi energy: 7.79 states/eV per cell

Lattice parameters (Å, degrees): 4.0084 4.0084 16.9931 90.00 90.00 120.00
Closest atoms and distances in Å follow each position.
Fractional coordinates of all 7 atoms:
Se 0.3333 0.6667 0.7899  3 Sn 2.77
Se 0.0000 0.0000 0.4617  3 Pa 2.84
Se 0.3333 0.6667 0.2613  4 Pa 2.86-2.91
Se 0.0000 0.0000 0.9973  3 Pa 2.83
Pa 0.6667 0.3333 0.3649  6 Se 2.84-2.91
Pa 0.3333 0.6667 0.0929  4 Se 2.83-2.86
Sn 0.0000 0.0000 0.7001  3 Se 2.77

Record 3
This record from Alexandria describes a relaxed structure of Pa2Sn2Se7. The functional is PBE-GGA.

offset from the most stable computed form: 32 meV per atom
space-group type: No. 44
DOS at the Fermi energy: 2.14 states/eV per cell

Lattice parameters (Å, degrees): 4.1959 9.2817 9.2817 57.52 76.94 76.94
Closest atoms and distances in Å follow each position.
Fractional coordinates of all 11 atoms:
Se 0.1748 0.7119 0.9385  2 Sn 2.80, 1 Pa 2.86
Se 0.1179 0.1825 0.5818  2 Pa 2.83, 1 Sn 2.93
Se 0.4024 0.7185 0.4768  3 Pa 2.90-3.04, 1 Se 3.07, 2 Sn 3.21
Se 0.8252 0.0615 0.2881  2 Sn 2.80, 1 Pa 2.86
Se 0.5000 0.0157 0.9843  3 Pa 2.87-2.94
Se 0.8821 0.4182 0.8175  2 Pa 2.83, 1 Sn 2.93
Se 0.5976 0.5232 0.2815  3 Pa 2.90-3.04, 1 Se 3.07, 2 Sn 3.21
Pa 0.0000 0.7969 0.2031  8 Se 2.86-3.04
Pa 0.5000 0.3449 0.6551  7 Se 2.83-2.94
Sn 0.2452 0.2951 0.2146  3 Se 2.80-2.93
Sn 0.7548 0.7854 0.7049  3 Se 2.80-2.93

Record 4
This record from Alexandria describes a relaxed structure of Pa2SnSe. The functional is PBE-GGA.

offset from the most stable computed form: 0 meV per atom
space-group type: No. 166
DOS at the Fermi energy: 4.68 states/eV per cell

Lattice parameters (Å, degrees): 3.4534 3.4534 9.7315 79.78 79.78 60.00
Closest atoms and distances in Å follow each position.
Fractional coordinates of all 4 atoms:
Pa 0.2590 0.2590 0.2229  3 Se 2.91
Pa 0.7410 0.7410 0.7771  3 Se 2.91
Se 0.0000 0.0000 0.0000  6 Pa 2.91
Sn 0.5000 0.5000 0.5000  6 Pa 3.31, 6 Sn 3.45

Record 5
This record from Alexandria describes a relaxed structure of PaSn2Se4. The functional is PBE-GGA.

space-group type: No. 55
DOS at the Fermi energy: 9.70 states/eV per cell

Lattice parameters (Å, degrees): 4.1567 7.9679 13.7836 90.00 90.00 90.00
Closest atoms and distances in Å follow each position.
Fractional coordinates of all 14 atoms:
Sn 0.5000 0.6652 0.3433  3 Se 2.77-2.81
Sn 0.5000 0.8348 0.8433  3 Se 2.77-2.81
Sn 0.5000 0.1652 0.1567  3 Se 2.77-2.81
Sn 0.5000 0.3348 0.6567  3 Se 2.77-2.81
Se 0.5000 0.7414 0.0369  1 Sn 2.77, 2 Pa 2.88
Se 0.0000 0.6092 0.8023  2 Sn 2.81, 1 Pa 2.86
Se 0.5000 0.7586 0.5369  1 Sn 2.77, 2 Pa 2.88
Se 0.5000 0.2414 0.4631  1 Sn 2.77, 2 Pa 2.88
Se 0.0000 0.8908 0.3023  2 Sn 2.81, 1 Pa 2.86
Se 0.5000 0.2586 0.9631  1 Sn 2.77, 2 Pa 2.88
Se 0.0000 0.1092 0.6977  2 Sn 2.81, 1 Pa 2.86
Se 0.0000 0.3908 0.1977  2 Sn 2.81, 1 Pa 2.86
Pa 0.0000 0.0000 0.5000  6 Se 2.86-2.88
Pa 0.0000 0.5000 0.0000  6 Se 2.86-2.88

Record 6
This record from Alexandria describes a relaxed structure of PaSnTe2Se. The functional is PBE-GGA.

space-group type: No. 129
DOS at the Fermi energy: 10.39 states/eV per cell

Lattice parameters (Å, degrees): 4.4783 4.4783 14.6985 90.00 90.00 90.00
Closest atoms and distances in Å follow each position.
Fractional coordinates of all 10 atoms:
Te 0.0000 0.5000 0.6980  1 Sn 2.94
Te 0.0000 0.5000 0.1456  4 Sn 3.23, 1 Pa 3.32
Te 0.5000 0.0000 0.3020  1 Sn 2.94
Te 0.5000 0.0000 0.8544  4 Sn 3.23, 1 Pa 3.32
Pa 0.5000 0.0000 0.6285  4 Se 2.93
Pa 0.0000 0.5000 0.3715  4 Se 2.93
Se 0.0000 0.0000 0.5000  4 Pa 2.93, 4 Se 3.17
Se 0.5000 0.5000 0.5000  4 Pa 2.93, 4 Se 3.17
Sn 0.0000 0.5000 0.8980  5 Te 2.94-3.23
Sn 0.5000 0.0000 0.1020  5 Te 2.94-3.23

Record 7
This record from Alexandria describes a relaxed structure of PaTl2SnSe4. The functional is PBE-GGA.

space-group type: No. 10
DOS at the Fermi energy: 4.86 states/eV per cell

Lattice parameters (Å, degrees): 4.2549 8.0076 7.5397 72.87 90.00 90.00
Closest atoms and distances in Å follow each position.
Fractional coordinates of all 8 atoms:
Se 0.0000 0.2923 0.2542  1 Pa 2.83, 2 Sn 3.01
Se 0.5000 0.7046 0.2775  2 Pa 2.90, 1 Sn 3.01
Se 0.0000 0.7077 0.7458  1 Pa 2.83, 2 Sn 3.01
Se 0.5000 0.2954 0.7225  2 Pa 2.90, 1 Sn 3.01
Tl 0.5000 0.0000 0.5000  6 Se 3.28-3.30
Tl 0.0000 0.0000 0.0000  6 Se 3.40-3.43
Pa 0.0000 0.5000 0.5000  6 Se 2.83-2.90
Sn 0.5000 0.5000 0.0000  6 Se 3.01

Record 8
This record from Alexandria describes a relaxed structure of SrPa2Se5. The functional is PBE-GGA.

space-group type: No. 140
DOS at the Fermi energy: 12.42 states/eV per cell

Lattice parameters (Å, degrees): 7.8183 7.8183 8.8148 116.33 116.33 90.00
Closest atoms and distances in Å follow each position.
Fractional coordinates of all 16 atoms:
Se 0.5000 0.5000 0.0000  4 Pa 2.96
Se 0.5138 0.7140 0.7278  3 Pa 2.86-3.03
Se 0.2860 0.7860 0.2722  3 Pa 2.86-3.03
Se 0.4862 0.2860 0.2722  3 Pa 2.86-3.03
Se 0.7860 0.9862 0.2722  3 Pa 2.86-3.03
Se 0.0000 0.0000 0.0000  4 Pa 2.96
Se 0.2140 0.0138 0.7278  3 Pa 2.86-3.03
Se 0.0138 0.5138 0.7278  3 Pa 2.86-3.03
Se 0.7140 0.2140 0.7278  3 Pa 2.86-3.03
Se 0.9862 0.4862 0.2722  3 Pa 2.86-3.03
Sr 0.7500 0.7500 0.5000  10 Se 3.36-3.43
Sr 0.2500 0.2500 0.5000  10 Se 3.36-3.43
Pa 0.6544 0.1544 0.0000  8 Se 2.86-3.03
Pa 0.8456 0.6544 0.0000  8 Se 2.86-3.03
Pa 0.3456 0.8456 0.0000  8 Se 2.86-3.03
Pa 0.1544 0.3456 0.0000  8 Se 2.86-3.03

Record 9
This record from Alexandria describes a relaxed structure of Sr2PaSe4. The functional is PBE-GGA.

offset from the most stable computed form: 94 meV per atom
space-group type: No. 12
DOS at the Fermi energy: 5.29 states/eV per cell

Lattice parameters (Å, degrees): 4.1668 7.3823 7.9805 66.05 105.13 90.00
Closest atoms and distances in Å follow each position.
Fractional coordinates of all 7 atoms:
Se 0.5174 0.2557 0.0348  2 Pa 2.90
Se 0.8039 0.2277 0.6078  1 Pa 2.77, 2 Sr 3.03
Se 0.4826 0.7443 0.9652  2 Pa 2.90
Se 0.1961 0.7723 0.3922  1 Pa 2.77, 2 Sr 3.03
Sr 0.8526 0.6106 0.7051  5 Se 3.03-3.32
Sr 0.1474 0.3894 0.2949  5 Se 3.03-3.32
Pa 0.0000 0.0000 0.0000  6 Se 2.77-2.90

Record 10
This record from Alexandria describes a relaxed structure of SrPaSe. The functional is PBE-GGA.

space-group type: No. 38
DOS at the Fermi energy: 10.23 states/eV per cell

Lattice parameters (Å, degrees): 3.7988 3.7991 14.8354 90.00 90.00 120.00
Closest atoms and distances in Å follow each position.
Fractional coordinates of all 6 atoms:
Sr 0.2784 0.5568 0.8609  3 Se 3.01
Sr 0.2784 0.5568 0.1391  3 Se 3.01
Pa 0.6105 0.2210 0.6329  3 Se 2.95
Pa 0.6105 0.2210 0.3671  3 Se 2.95
Se 0.2771 0.5542 0.5000  6 Pa 2.95
Se 0.6118 0.2236 0.0000  6 Sr 3.01

Record 11
This record from Alexandria describes a relaxed structure of Sr5PaSe8. The functional is PBE-GGA.

space-group type: No. 82
DOS at the Fermi energy: 11.44 states/eV per cell

Lattice parameters (Å, degrees): 7.9569 7.9569 7.9569 109.58 109.25 109.58
Closest atoms and distances in Å follow each position.
Fractional coordinates of all 14 atoms:
Se 0.5988 0.3998 0.8668  5 Sr 3.07-3.34, 1 Pa 3.08, 2 Se 3.28-3.31
Se 0.2719 0.2696 0.3984  1 Pa 2.88, 2 Sr 3.10-3.13
Se 0.6016 0.8735 0.8712  1 Pa 2.88, 2 Sr 3.10-3.13
Se 0.1288 0.7304 0.0023  1 Pa 2.88, 2 Sr 3.10-3.13
Se 0.9977 0.1265 0.7281  1 Pa 2.88, 2 Sr 3.10-3.13
Se 0.8010 0.2680 0.4012  5 Sr 3.07-3.34, 1 Pa 3.08, 2 Se 3.28-3.31
Se 0.4670 0.6002 0.1990  5 Sr 3.07-3.34, 1 Pa 3.08, 2 Se 3.28-3.31
Se 0.1332 0.7320 0.5330  5 Sr 3.07-3.34, 1 Pa 3.08, 2 Se 3.28-3.31
Sr 0.7473 0.6292 0.6186  8 Se 3.07-3.41
Sr 0.5000 0.0000 0.5000  8 Se 3.14-3.37
Sr 0.8819 0.8713 0.2527  8 Se 3.07-3.41
Sr 0.9894 0.3708 0.1181  8 Se 3.07-3.41
Sr 0.3814 0.1287 0.0106  8 Se 3.07-3.41
Pa 0.2500 0.5000 0.7500  8 Se 2.88-3.08

Record 12
This record from Alexandria describes a relaxed structure of SrPa2Se6. The functional is PBE-GGA.

offset from the most stable computed form: 75 meV per atom
space-group type: No. 12

Lattice parameters (Å, degrees): 5.5075 7.5806 8.6337 73.48 71.40 68.70
Closest atoms and distances in Å follow each position.
Fractional coordinates of all 9 atoms:
Se 0.7112 0.6541 0.9234  3 Pa 2.82-2.91
Se 0.6473 0.2925 0.4130  1 Pa 2.61
Se 0.9678 0.8598 0.2047  2 Pa 2.76-2.78
Se 0.3527 0.7075 0.5870  1 Pa 2.61
Se 0.2888 0.3459 0.0766  3 Pa 2.82-2.91
Se 0.0322 0.1402 0.7953  2 Pa 2.76-2.78
Sr 0.0000 0.5000 0.5000  6 Se 3.15-3.26
Pa 0.8216 0.2558 0.1010  6 Se 2.61-2.91
Pa 0.1784 0.7442 0.8990  6 Se 2.61-2.91

What magnetization values result from the calculations? In sequence: 0.00 3.95 0.16 0.00 1.99 1.92 1.01 4.02 1.00 1.18 0.01 0.00 μB per cell.
What uncorrected formation energy values result from the calculations? In sequence: -0.806 -0.797 -0.925 -0.579 -0.813 -0.711 -0.801 -1.559 -1.661 -0.504 -1.726 -1.400 eV/atom.
What mass density values result from the calculations? In sequence: 6025 6297 7057 11136 5706 7705 7267 7474 5577 7122 5570 5439 kg/m³.